TbSm4Tl2: relaxed, GGA-PBE.

Cell: 6.2201 6.2899 6.3355 Å, 114.87 94.02 94.29°
Space group P-1 (No. 2)
Asymmetric unit:
Tb: 0.0000 0.0000 0.0000 [1 per cell]
Sm: 0.0000 0.0000 0.5000 [1 per cell]
Sm: 0.0000 0.5000 0.0000 [1 per cell]
Sm: 0.5002 0.2093 0.7881 [2 per cell]
Tl: 0.2690 0.5826 0.5829 [2 per cell]

Summary:
Uncorrected energy in Ry/atom: -0.2903
D(E_F) in states/eV per cell: 10.37
Energy relative to the elements in eV per atom: 0.085

Tb2Sm6Tl: relaxed, GGA-PBE.

Cell: 21.3897 6.2934 9.0996 Å, 90.00 109.46 90.00°
Space group C2/c (No. 15)
Asymmetric unit:
Tb: 0.2230 0.1669 0.3040 [8 per cell]
Sm: 0.0531 0.3244 0.1347 [8 per cell]
Sm: 0.1097 0.1474 0.5278 [8 per cell]
Sm: 0.1625 0.3356 0.9147 [8 per cell]
Tl: 0.0000 0.1695 0.7500 [4 per cell]

Summary:
Uncorrected energy in Ry/atom: -0.3308
D(E_F) in states/eV per cell: 50.61
Energy relative to the elements in eV per atom: -0.062

no.,energy above the most stable polymorph in this dataset (meV/atom)
1,42
2,0